Record 1
{"formula": "PaAlTc", "functional": "PBE", "state": "relaxed", "cell": [[7.3787, -2.3036, 0.0000], [-3.1743, 7.0481, 0.0000], [-2.1022, -2.3722, 5.9036]], "species": ["Pa", "Tc", "Tc", "Al", "Pa", "Al", "Pa", "Tc", "Al", "Pa", "Tc", "Al"], "frac_coords": [[0.4801, 0.9801, 0.5000], [0.1250, 0.3750, 0.7500], [0.6250, 0.3750, 0.2500], [0.7692, 0.7692, 0.5384], [0.7699, 0.7699, 0.0000], [0.0192, 0.5192, 0.0384], [0.2301, 0.2301, 0.0000], [0.6250, 0.8750, 0.2500], [0.4808, 0.9808, 0.9616], [0.0199, 0.5199, 0.5000], [0.6250, 0.3750, 0.7500], [0.2308, 0.2308, 0.4616]], "relative_energy_mev_per_atom": 592}

=====

Record 2
{"formula": "Pa2AlTc", "functional": "PBE", "state": "relaxed", "cell": [[4.9371, 0.0000, 0.0000], [2.4686, 4.2757, 0.0000], [2.4686, 1.4252, 4.0311]], "species": ["Al", "Tc", "Pa", "Pa"], "frac_coords": [[0.0000, 0.0000, 0.0000], [0.5000, 0.5000, 0.5000], [0.7500, 0.7500, 0.7500], [0.2500, 0.2500, 0.2500]], "relative_energy_mev_per_atom": 205}

=====

Record 3
{"formula": "Pa2AlTc", "functional": "PBE", "state": "relaxed", "cell": [[5.7772, 0.0000, 0.0000], [0.0000, 5.5659, 0.1492], [0.0000, 0.3173, 10.7626]], "species": ["Pa", "Al", "Tc", "Al", "Pa", "Pa", "Pa", "Pa", "Pa", "Al", "Pa", "Tc", "Pa", "Tc", "Al", "Tc"], "frac_coords": [[0.6563, 0.4559, 0.3902], [0.2463, 0.0319, 0.7021], [0.5609, 0.8207, 0.1003], [0.7537, 0.9681, 0.2979], [0.2506, 0.0996, 0.4044], [0.2494, 0.5996, 0.9044], [0.1563, 0.0441, 0.1098], [0.3437, 0.5441, 0.6098], [0.8437, 0.9559, 0.8902], [0.2537, 0.5319, 0.2021], [0.7506, 0.4004, 0.0956], [0.9391, 0.3207, 0.6003], [0.7494, 0.9004, 0.5956], [0.0609, 0.6793, 0.3997], [0.7463, 0.4681, 0.7979], [0.4391, 0.1793, 0.8997]], "relative_energy_mev_per_atom": 45}

=====

Record 4
{"formula": "Pa3Al7Tc2", "functional": "PBE", "state": "relaxed", "cell": [[-1.5982, -5.0150, 0.9523], [3.0249, -4.1173, -1.5840], [4.7624, -2.9180, 7.6478]], "species": ["Al", "Pa", "Al", "Tc", "Al", "Tc", "Pa", "Al", "Pa", "Al", "Al", "Al"], "frac_coords": [[0.5809, 0.5809, 0.7643], [0.8472, 0.8472, 0.4585], [0.4191, 0.4191, 0.2357], [0.3353, 0.3353, 0.9941], [0.9260, 0.4191, 0.2357], [0.6647, 0.6647, 0.0059], [0.0000, 0.0000, 0.0000], [0.5809, 0.0740, 0.7643], [0.1528, 0.1528, 0.5415], [0.5000, 0.5000, 0.5000], [0.0740, 0.5809, 0.7643], [0.4191, 0.9260, 0.2357]], "energy_ev_per_atom": -6.59}

=====

Record 5
{"formula": "PaAlTc", "functional": "PBE", "state": "relaxed", "cell": [[4.6962, -0.0006, -0.0005], [2.3481, 5.3950, -0.4070], [0.0023, 1.5804, 4.6789]], "species": ["Tc", "Pa", "Pa", "Al", "Al", "Tc"], "frac_coords": [[0.1896, 0.6268, 0.3373], [0.1304, 0.7452, 0.8139], [0.8741, 0.2581, 0.1905], [0.5805, 0.8451, 0.3001], [0.4240, 0.1581, 0.7044], [0.8149, 0.3764, 0.6671]], "relative_energy_mev_per_atom": 0}

=====

Record 6
{"formula": "PaAl5Tc", "functional": "PBE", "state": "relaxed", "cell": [[-3.6218, -1.2926, -2.0503], [1.6836, -3.9937, -0.4562], [-2.7834, -1.8696, 6.0955]], "species": ["Al", "Al", "Tc", "Al", "Al", "Al", "Pa"], "frac_coords": [[0.0000, 0.5000, 0.3066], [0.5000, 0.0000, 0.6934], [0.0000, 0.0000, 0.5000], [0.5000, 0.0000, 0.3066], [0.0000, 0.5000, 0.6934], [0.5000, 0.5000, 0.0000], [0.0000, 0.0000, 0.0000]], "energy_ev_per_atom": -5.82}

=====

Record 7
{"formula": "Pa2AlTc2", "functional": "PBE", "state": "relaxed", "cell": [[-0.1591, -1.5070, -4.1396], [-3.5485, -3.8575, -0.8065], [-4.1789, 1.6813, -2.7987]], "species": ["Tc", "Pa", "Al", "Pa", "Tc"], "frac_coords": [[0.5000, 0.2463, 0.7537], [0.8075, 0.6925, 0.6925], [0.0000, 0.0000, 0.0000], [0.1925, 0.3075, 0.3075], [0.5000, 0.7537, 0.2463]], "relative_energy_mev_per_atom": 16}

=====

Record 8
{"formula": "PaAlTc2", "functional": "PBE", "state": "relaxed", "cell": [[3.2973, 0.0000, 0.0000], [1.6487, 2.8556, 0.0000], [1.6487, 0.9519, 8.7174]], "species": ["Tc", "Al", "Tc", "Pa"], "frac_coords": [[0.0969, 0.0969, 0.7093], [0.0000, 0.0000, 0.0000], [0.9031, 0.9031, 0.2907], [0.5000, 0.5000, 0.5000]], "relative_energy_mev_per_atom": 868}

=====

Record 9
{"formula": "Pa6AlTc", "functional": "PBE", "state": "relaxed", "cell": [[-1.9089, -5.3433, 2.7659], [1.9741, -5.6661, -1.9231], [5.2519, -2.5390, 2.5499]], "species": ["Tc", "Pa", "Pa", "Pa", "Al", "Pa", "Pa", "Pa"], "frac_coords": [[0.5000, 0.5000, 0.0000], [0.2486, 0.9723, 0.5386], [0.7514, 0.4891, 0.5386], [0.7212, 0.7441, 0.0000], [0.0000, 0.0000, 0.0000], [0.2788, 0.2559, 0.0000], [0.2486, 0.5109, 0.4614], [0.7514, 0.0277, 0.4614]], "energy_ev_per_atom": -8.68}

=====

Record 10
{"formula": "PaAlTc2", "functional": "PBE", "state": "relaxed", "cell": [[3.4346, 0.0000, 0.0000], [0.0000, 4.4754, 0.0000], [0.0000, 0.0000, 4.4754]], "species": ["Pa", "Tc", "Al", "Tc"], "frac_coords": [[0.5000, 0.5000, 0.5000], [0.0000, 0.5000, 0.0000], [0.5000, 0.0000, 0.0000], [0.0000, 0.0000, 0.5000]], "relative_energy_mev_per_atom": 0}

=====

Record 11
{"formula": "PaAlTc", "functional": "PBE", "state": "relaxed", "cell": [[-2.4143, -0.8828, 1.8913], [1.9501, -1.9849, 1.5629], [1.5349, 5.5277, 1.8468]], "species": ["Pa", "Al", "Tc"], "frac_coords": [[0.3148, 0.3148, 0.6296], [0.0308, 0.0308, 0.0615], [0.6545, 0.6545, 0.3089]], "relative_energy_mev_per_atom": 142}

=====

Record 12
{"formula": "PaAlTc", "functional": "PBE", "state": "relaxed", "cell": [[4.7294, 0.0234, -2.4690], [-3.1365, 4.3088, -0.2461], [0.1519, -0.0234, 5.3330]], "species": ["Pa", "Tc", "Tc", "Pa", "Al", "Al"], "frac_coords": [[0.7500, 0.8528, 0.1028], [0.5000, 0.5000, 0.5000], [0.0000, 0.5000, 0.0000], [0.2500, 0.1472, 0.8972], [0.0000, 0.5000, 0.5000], [0.5000, 0.0000, 0.5000]], "relative_energy_mev_per_atom": 31}